Record 1
# PBE CdSbMo2, relaxed
data_CdSbMo2
_cell_length_a 5.3995
_cell_length_b 5.3995
_cell_length_c 5.3995
_cell_angle_alpha 143.01
_cell_angle_beta 127.53
_cell_angle_gamma 65.93
_space_group_name_H-M_alt 'P 1'
_space_group_IT_number 1
_space_group_name_Hall 'P 1'
loop_
_atom_site_label
_atom_site_type_symbol
_atom_site_fract_x
_atom_site_fract_y
_atom_site_fract_z
Mo1 Mo 0.4882 0.4882 0.0000
Mo2 Mo 0.0118 0.0118 0.0000
Cd1 Cd 0.7500 0.2500 0.5000
Sb1 Sb 0.2500 0.7500 0.5000
# * formation energy (no corrections): 0.5379 eV per atom
# * SG: Immm, No. 71
# * crystal system: orthorhombic

Record 2
# PBE K2LaPt, relaxed
data_K2LaPt
_cell_length_a 4.1515
_cell_length_b 5.5103
_cell_length_c 6.0496
_cell_angle_alpha 90.00
_cell_angle_beta 90.00
_cell_angle_gamma 90.00
_space_group_name_H-M_alt 'P 1'
_space_group_IT_number 1
_space_group_name_Hall 'P 1'
loop_
_atom_site_label
_atom_site_type_symbol
_atom_site_fract_x
_atom_site_fract_y
_atom_site_fract_z
La1 La 0.5000 0.5000 0.2500
K1 K 0.0000 0.0000 0.9768
K2 K 0.0000 0.0000 0.5232
Pt1 Pt 0.5000 0.5000 0.7500
# * energy of formation from the pure elements: 0.275 eV per atom
# * SG: Pmmm, No. 47
# * crystal system: orthorhombic

Record 3
# PBE Mg6Tl3Pb2, relaxed
data_Mg6Tl3Pb2
_cell_length_a 3.5500
_cell_length_b 3.5500
_cell_length_c 25.9143
_cell_angle_alpha 86.07
_cell_angle_beta 86.07
_cell_angle_gamma 60.00
_space_group_name_H-M_alt 'P 1'
_space_group_IT_number 1
_space_group_name_Hall 'P 1'
loop_
_atom_site_label
_atom_site_type_symbol
_atom_site_fract_x
_atom_site_fract_y
_atom_site_fract_z
Tl1 Tl 0.7264 0.7264 0.8207
Tl2 Tl 0.0000 0.0000 0.0000
Tl3 Tl 0.2736 0.2736 0.1793
Mg1 Mg 0.9104 0.9104 0.2687
Mg2 Mg 0.3633 0.3633 0.9101
Mg3 Mg 0.8182 0.8182 0.5455
Mg4 Mg 0.0896 0.0896 0.7313
Mg5 Mg 0.1818 0.1818 0.4545
Mg6 Mg 0.6367 0.6367 0.0899
Pb1 Pb 0.5463 0.5463 0.3611
Pb2 Pb 0.4537 0.4537 0.6389
# * energy of formation from the pure elements: -0.018 eV per atom
# * SG: R-3m, No. 166
# * crystal system: trigonal

Record 4
# PBE ScMnMo2, relaxed
data_ScMnMo2
_cell_length_a 4.3611
_cell_length_b 2.7824
_cell_length_c 5.3319
_cell_angle_alpha 80.07
_cell_angle_beta 90.00
_cell_angle_gamma 90.00
_space_group_name_H-M_alt 'P 1'
_space_group_IT_number 1
_space_group_name_Hall 'P 1'
loop_
_atom_site_label
_atom_site_type_symbol
_atom_site_fract_x
_atom_site_fract_y
_atom_site_fract_z
Mo1 Mo 0.0000 0.0110 0.0011
Mo2 Mo 0.5000 0.2196 0.2346
Sc1 Sc 0.0000 0.4936 0.5086
Mn1 Mn 0.5000 0.7758 0.7557
# * energy of formation from the pure elements: 0.160 eV per atom
# * SG: Pm, No. 6
# * crystal system: monoclinic

Record 5
# PBE PrPuAl, relaxed
data_PrPuAl
_cell_length_a 3.7259
_cell_length_b 3.7259
_cell_length_c 6.4325
_cell_angle_alpha 106.83
_cell_angle_beta 106.83
_cell_angle_gamma 90.00
_space_group_name_H-M_alt 'P 1'
_space_group_IT_number 1
_space_group_name_Hall 'P 1'
loop_
_atom_site_label
_atom_site_type_symbol
_atom_site_fract_x
_atom_site_fract_y
_atom_site_fract_z
Pr1 Pr 0.0153 0.0153 0.0305
Pu1 Pu 0.3120 0.3120 0.6239
Al1 Al 0.6728 0.6728 0.3455
# * energy of formation from the pure elements: -0.057 eV per atom
# * SG: I4mm, No. 107
# * crystal system: tetragonal

Record 6
# PBE AcIn12Ni5, relaxed
data_AcIn12Ni5
_cell_length_a 8.0585
_cell_length_b 8.0585
_cell_length_c 8.0585
_cell_angle_alpha 97.66
_cell_angle_beta 112.51
_cell_angle_gamma 118.94
_space_group_name_H-M_alt 'P 1'
_space_group_IT_number 1
_space_group_name_Hall 'P 1'
loop_
_atom_site_label
_atom_site_type_symbol
_atom_site_fract_x
_atom_site_fract_y
_atom_site_fract_z
In1 In 0.6828 0.3250 0.0078
In2 In 0.8110 0.5857 0.7747
In3 In 0.5573 0.8248 0.7325
In4 In 0.9078 0.1752 0.7325
In5 In 0.8110 0.0364 0.2253
In6 In 0.0922 0.8248 0.2675
In7 In 0.4427 0.1752 0.2675
In8 In 0.3172 0.3250 0.6422
In9 In 0.6828 0.6750 0.3578
In10 In 0.1890 0.4143 0.2253
In11 In 0.1890 0.9636 0.7747
In12 In 0.3172 0.6750 0.9922
Ni1 Ni 0.5000 0.8798 0.3798
Ni2 Ni 0.5000 0.1202 0.6202
Ni3 Ni 0.3305 0.3305 0.0000
Ni4 Ni 0.0000 0.0000 0.0000
Ni5 Ni 0.6695 0.6695 0.0000
Ac1 Ac 0.0000 0.5000 0.5000
# * energy of formation from the pure elements: -0.075 eV per atom
# * SG: Immm, No. 71
# * crystal system: orthorhombic

Record 7
# PBE Ba3NpPd2S6, relaxed
data_Ba3NpPd2S6
_cell_length_a 7.3209
_cell_length_b 7.3209
_cell_length_c 7.8476
_cell_angle_alpha 90.00
_cell_angle_beta 90.00
_cell_angle_gamma 120.00
_space_group_name_H-M_alt 'P 1'
_space_group_IT_number 1
_space_group_name_Hall 'P 1'
loop_
_atom_site_label
_atom_site_type_symbol
_atom_site_fract_x
_atom_site_fract_y
_atom_site_fract_z
S1 S 0.8386 0.1614 0.6964
S2 S 0.1614 0.3229 0.3036
S3 S 0.6771 0.8386 0.3036
S4 S 0.3229 0.1614 0.6964
S5 S 0.1614 0.8386 0.3036
S6 S 0.8386 0.6771 0.6964
Pd1 Pd 0.3333 0.6667 0.1952
Pd2 Pd 0.6667 0.3333 0.8048
Ba1 Ba 0.0000 0.0000 0.0000
Ba2 Ba 0.3333 0.6667 0.6243
Ba3 Ba 0.6667 0.3333 0.3757
Np1 Np 0.0000 0.0000 0.5000
# * formation energy (no corrections): -1.2210 eV per atom
# * SG: P-3m1, No. 164
# * crystal system: trigonal

Record 8
# PBE Na8Cd3Pb2, relaxed
data_Na8Cd3Pb2
_cell_length_a 5.8433
_cell_length_b 8.3711
_cell_length_c 8.3711
_cell_angle_alpha 87.14
_cell_angle_beta 75.56
_cell_angle_gamma 75.56
_space_group_name_H-M_alt 'P 1'
_space_group_IT_number 1
_space_group_name_Hall 'P 1'
loop_
_atom_site_label
_atom_site_type_symbol
_atom_site_fract_x
_atom_site_fract_y
_atom_site_fract_z
Na1 Na 0.6411 0.0895 0.5936
Na2 Na 0.9294 0.1455 0.1455
Na3 Na 0.7888 0.4358 0.4358
Na4 Na 0.3589 0.4064 0.9105
Na5 Na 0.3589 0.9105 0.4064
Na6 Na 0.0706 0.8545 0.8545
Na7 Na 0.6411 0.5936 0.0895
Na8 Na 0.2112 0.5642 0.5642
Pb1 Pb 0.6439 0.7205 0.7205
Pb2 Pb 0.3561 0.2795 0.2795
Cd1 Cd 0.0000 0.2513 0.7487
Cd2 Cd 0.5000 0.0000 0.0000
Cd3 Cd 0.0000 0.7487 0.2513
# * energy of formation from the pure elements: -0.060 eV per atom
# * SG: C2/m, No. 12
# * crystal system: monoclinic

Record 9
# PBE SmEr3Tl3, relaxed
data_SmEr3Tl3
_cell_length_a 9.3267
_cell_length_b 9.3267
_cell_length_c 9.3267
_cell_angle_alpha 90.00
_cell_angle_beta 90.00
_cell_angle_gamma 90.00
_space_group_name_H-M_alt 'P 1'
_space_group_IT_number 1
_space_group_name_Hall 'P 1'
loop_
_atom_site_label
_atom_site_type_symbol
_atom_site_fract_x
_atom_site_fract_y
_atom_site_fract_z
Tl1 Tl 0.2400 0.8826 0.9993
Tl2 Tl 0.3826 0.5007 0.7600
Tl3 Tl 0.2600 0.1174 0.4993
Tl4 Tl 0.8826 0.9993 0.2400
Tl5 Tl 0.4993 0.2600 0.1174
Tl6 Tl 0.1174 0.4993 0.2600
Tl7 Tl 0.9993 0.2400 0.8826
Tl8 Tl 0.7600 0.3826 0.5007
Tl9 Tl 0.5007 0.7600 0.3826
Tl10 Tl 0.6174 0.0007 0.7400
Tl11 Tl 0.7400 0.6174 0.0007
Tl12 Tl 0.0007 0.7400 0.6174
Sm1 Sm 0.5689 0.9311 0.0689
Sm2 Sm 0.4311 0.4311 0.4311
Sm3 Sm 0.9311 0.0689 0.5689
Sm4 Sm 0.0689 0.5689 0.9311
Er1 Er 0.6799 0.3201 0.8201
Er2 Er 0.1775 0.8225 0.3225
Er3 Er 0.8225 0.3225 0.1775
Er4 Er 0.4175 0.5825 0.0825
Er5 Er 0.5825 0.0825 0.4175
Er6 Er 0.3201 0.8201 0.6799
Er7 Er 0.6775 0.6775 0.6775
Er8 Er 0.8201 0.6799 0.3201
Er9 Er 0.1799 0.1799 0.1799
Er10 Er 0.0825 0.4175 0.5825
Er11 Er 0.9175 0.9175 0.9175
Er12 Er 0.3225 0.1775 0.8225
# * energy of formation from the pure elements: -0.237 eV per atom
# * SG: P2_13, No. 198
# * crystal system: cubic

Record 10
# PBE CsZn2GaS, relaxed
data_CsZn2GaS
_cell_length_a 4.9622
_cell_length_b 6.4632
_cell_length_c 4.9622
_cell_angle_alpha 90.00
_cell_angle_beta 90.00
_cell_angle_gamma 90.00
_space_group_name_H-M_alt 'P 1'
_space_group_IT_number 1
_space_group_name_Hall 'P 1'
loop_
_atom_site_label
_atom_site_type_symbol
_atom_site_fract_x
_atom_site_fract_y
_atom_site_fract_z
S1 S 0.0000 0.0000 0.0000
Zn1 Zn 0.5000 0.0000 0.0000
Zn2 Zn 0.0000 0.0000 0.5000
Cs1 Cs 0.0000 0.5000 0.0000
Ga1 Ga 0.5000 0.5000 0.5000
# * formation energy (no corrections): 0.2885 eV per atom
# * SG: P4/mmm, No. 123
# * crystal system: tetragonal

Record 11
# PBE BaZrCd, relaxed
data_BaZrCd
_cell_length_a 5.6491
_cell_length_b 7.1345
_cell_length_c 5.2566
_cell_angle_alpha 68.39
_cell_angle_beta 90.00
_cell_angle_gamma 90.00
_space_group_name_H-M_alt 'P 1'
_space_group_IT_number 1
_space_group_name_Hall 'P 1'
loop_
_atom_site_label
_atom_site_type_symbol
_atom_site_fract_x
_atom_site_fract_y
_atom_site_fract_z
Zr1 Zr 0.7255 0.6240 0.3374
Zr2 Zr 0.2255 0.6240 0.3374
Cd1 Cd 0.4758 0.7459 0.7765
Cd2 Cd 0.9758 0.5020 0.8983
Ba1 Ba 0.4757 0.1965 0.0512
Ba2 Ba 0.9757 0.0515 0.6237
# * energy of formation from the pure elements: 0.089 eV per atom
# * SG: Cmcm, No. 63
# * crystal system: orthorhombic

Record 12
# PBE NaAc2Ho, relaxed
data_NaAc2Ho
_cell_length_a 6.0355
_cell_length_b 6.0355
_cell_length_c 6.0355
_cell_angle_alpha 60.00
_cell_angle_beta 60.00
_cell_angle_gamma 60.00
_space_group_name_H-M_alt 'P 1'
_space_group_IT_number 1
_space_group_name_Hall 'P 1'
loop_
_atom_site_label
_atom_site_type_symbol
_atom_site_fract_x
_atom_site_fract_y
_atom_site_fract_z
Na1 Na 0.5000 0.5000 0.5000
Ac1 Ac 0.7500 0.7500 0.7500
Ac2 Ac 0.2500 0.2500 0.2500
Ho1 Ho 0.0000 0.0000 0.0000
# * energy of formation from the pure elements: 0.199 eV per atom
# * SG: Fm-3m, No. 225
# * crystal system: cubic

The records above give, respectively, DOS(E_F) values of 3.39 3.38 4.01 3.60 6.83 11.32 3.86 5.20 35.44 2.90 6.57 5.12 states/eV per cell.